1.
Below is a relaxed structure of PrDy15Y4, with properties calculated at the GGA-PBE level.

Output
DOS at the Fermi energy: 26.84 states/eV/cell
M_tot: 0.00 μB/cell
ΔE_f: 0.02 eV/atom

abc: 5.0317 5.0317 25.1578
angles: 90.00 90.00 90.00
Sites, in units of the cell vectors:
Pr  0.0000  0.0000  0.0000
Dy  0.0000  0.5000  0.1013
Dy  0.0000  0.5000  0.3007
Dy  0.0000  0.5000  0.5000
Dy  0.0000  0.5000  0.6993
Dy  0.0000  0.5000  0.8987
Dy  0.5000  0.0000  0.1013
Dy  0.5000  0.0000  0.3007
Dy  0.5000  0.0000  0.5000
Dy  0.5000  0.0000  0.6993
Dy  0.5000  0.0000  0.8987
Dy  0.5000  0.5000  0.0000
Dy  0.5000  0.5000  0.2014
Dy  0.5000  0.5000  0.4003
Dy  0.5000  0.5000  0.5997
Dy  0.5000  0.5000  0.7986
Y  0.0000  0.0000  0.2009
Y  0.0000  0.0000  0.4004
Y  0.0000  0.0000  0.5996
Y  0.0000  0.0000  0.7991

---

2.
Below is a relaxed structure of PrDy8Y4, with properties calculated at the GGA-PBE level.

Output
DOS at the Fermi energy: 16.17 states/eV/cell
M_tot: 0.00 μB/cell
ΔE_f: 0.19 eV/atom

abc: 9.9797 9.9797 9.9797
angles: 43.15 43.15 43.15
Sites, in units of the cell vectors:
Pr  0.0000  0.0000  0.0000
Dy  0.2505  0.2505  0.6927
Dy  0.2505  0.6927  0.2505
Dy  0.2816  0.2816  0.2816
Dy  0.3073  0.7495  0.7495
Dy  0.6927  0.2505  0.2505
Dy  0.7184  0.7184  0.7184
Dy  0.7495  0.3073  0.7495
Dy  0.7495  0.7495  0.3073
Y  0.0000  0.0000  0.5000
Y  0.0000  0.5000  0.0000
Y  0.5000  0.0000  0.0000
Y  0.5000  0.5000  0.5000

---

3.
Below is a relaxed structure of Pr3Dy2Y, with properties calculated at the GGA-PBE level.

Output
DOS at the Fermi energy: 19.86 states/eV/cell
M_tot: 0.00 μB/cell
ΔE_f: 0.11 eV/atom

abc: 6.9105 6.9105 17.8836
angles: 102.06 102.06 29.96
Sites, in units of the cell vectors:
Pr  0.0676  0.0676  0.1678
Pr  0.2671  0.2671  0.6626
Pr  0.3726  0.3726  0.0096
Pr  0.6274  0.6274  0.9904
Pr  0.7329  0.7329  0.3374
Pr  0.9324  0.9324  0.8322
Dy  0.1967  0.1967  0.8344
Dy  0.3674  0.3674  0.4989
Dy  0.6326  0.6326  0.5011
Dy  0.8033  0.8033  0.1656
Y  0.4590  0.4590  0.3194
Y  0.5410  0.5410  0.6806

---

4.
Below is a relaxed structure of PrDy5Y7, with properties calculated at the GGA-PBE level.

Output
DOS at the Fermi energy: 25.17 states/eV/cell
M_tot: 0.00 μB/cell
ΔE_f: 0.24 eV/atom

abc: 8.7363 8.7363 8.7363
angles: 134.97 100.48 96.39
Sites, in units of the cell vectors:
Pr  0.0000  0.0000  0.0000
Dy  0.0329  0.0366  0.4637
Dy  0.0329  0.5692  0.9963
Dy  0.3094  0.8094  0.5000
Dy  0.5729  0.0366  0.0037
Dy  0.5729  0.5692  0.5363
Y  0.2232  0.5552  0.6681
Y  0.3016  0.3016  0.0000
Y  0.3828  0.0546  0.3282
Y  0.6109  0.6109  0.0000
Y  0.7264  0.0546  0.6718
Y  0.8007  0.3007  0.5000
Y  0.8871  0.5552  0.3319

---

5.
Below is a relaxed structure of Pr3Dy8Y2, with properties calculated at the GGA-PBE level.

Output
DOS at the Fermi energy: 18.57 states/eV/cell
M_tot: 0.00 μB/cell
ΔE_f: 0.02 eV/atom

abc: 6.2129 8.0264 9.4846
angles: 65.03 89.92 82.47
Sites, in units of the cell vectors:
Pr  0.0000  0.0000  0.0000
Pr  0.4608  0.2331  0.8453
Pr  0.5392  0.7669  0.1547
Dy  0.0770  0.5348  0.3098
Dy  0.1530  0.0766  0.6136
Dy  0.2295  0.6150  0.9226
Dy  0.3080  0.1556  0.2331
Dy  0.6920  0.8444  0.7669
Dy  0.7705  0.3850  0.0774
Dy  0.8470  0.9234  0.3864
Dy  0.9230  0.4652  0.6902
Y  0.3836  0.6942  0.5389
Y  0.6164  0.3058  0.4611

---

6.
Below is a relaxed structure of Pr8Dy2Y, with properties calculated at the GGA-PBE level.

Output
DOS at the Fermi energy: 16.32 states/eV/cell
M_tot: 0.00 μB/cell
ΔE_f: 0.20 eV/atom

abc: 8.0404 8.0404 8.7621
angles: 112.98 112.98 50.63
Sites, in units of the cell vectors:
Pr  0.1085  0.1085  0.9940
Pr  0.1459  0.6624  0.6137
Pr  0.2388  0.2388  0.7798
Pr  0.3376  0.8541  0.3863
Pr  0.6624  0.1459  0.6137
Pr  0.7612  0.7612  0.2202
Pr  0.8541  0.3376  0.3863
Pr  0.8915  0.8915  0.0060
Dy  0.3588  0.3588  0.2432
Dy  0.6412  0.6412  0.7568
Y  0.5000  0.5000  0.0000

---

7.
Below is a relaxed structure of PrDy2Y5, with properties calculated at the GGA-PBE level.

Output
DOS at the Fermi energy: 30.59 states/eV/cell
M_tot: 0.00 μB/cell
ΔE_f: 0.01 eV/atom

abc: 6.7672 9.2679 9.2769
angles: 86.12 72.29 72.22
Sites, in units of the cell vectors:
Pr  0.1276  0.2288  0.3945
Pr  0.8724  0.7712  0.6055
Dy  0.1271  0.3954  0.7295
Dy  0.3760  0.8535  0.5201
Dy  0.6240  0.1465  0.4799
Dy  0.8729  0.6046  0.2705
Y  0.1226  0.8959  0.2283
Y  0.1266  0.7286  0.8981
Y  0.3734  0.3554  0.0198
Y  0.3760  0.0216  0.8540
Y  0.3757  0.5225  0.3537
Y  0.6243  0.4775  0.6463
Y  0.6240  0.9784  0.1460
Y  0.6266  0.6446  0.9802
Y  0.8734  0.2714  0.1019
Y  0.8774  0.1041  0.7717

---

8.
Below is a relaxed structure of Pr2Dy12Y, with properties calculated at the GGA-PBE level.

Output
DOS at the Fermi energy: 47.79 states/eV/cell
M_tot: 0.00 μB/cell
ΔE_f: 0.16 eV/atom

abc: 6.6787 6.6787 24.8487
angles: 90.00 90.00 116.00
Sites, in units of the cell vectors:
Pr  0.2500  0.7500  0.2345
Pr  0.2500  0.7500  0.7707
Pr  0.7500  0.2500  0.2293
Pr  0.7500  0.2500  0.7655
Dy  0.0003  0.9997  0.4219
Dy  0.9997  0.0003  0.5781
Dy  0.0006  0.5006  0.6259
Dy  0.0113  0.5113  0.0838
Dy  0.0134  0.9866  0.9388
Dy  0.2500  0.2500  0.1721
Dy  0.2500  0.2500  0.3013
Dy  0.2500  0.2500  0.6987
Dy  0.2500  0.2500  0.8279
Dy  0.4866  0.5134  0.9388
Dy  0.4887  0.9887  0.0838
Dy  0.4994  0.9994  0.6259
Dy  0.4997  0.5003  0.4219
Dy  0.5003  0.4997  0.5781
Dy  0.5006  0.0006  0.3741
Dy  0.5113  0.0113  0.9162
Dy  0.5134  0.4866  0.0612
Dy  0.7500  0.7500  0.1721
Dy  0.7500  0.7500  0.3013
Dy  0.7500  0.7500  0.6987
Dy  0.7500  0.7500  0.8279
Dy  0.9866  0.0134  0.0612
Dy  0.9887  0.4887  0.9162
Dy  0.9994  0.4994  0.3741
Y  0.2500  0.7500  0.5000
Y  0.7500  0.2500  0.5000

---

9.
Below is a relaxed structure of PrDy2Y6, with properties calculated at the GGA-PBE level.

Output
DOS at the Fermi energy: 31.16 states/eV/cell
M_tot: 0.00 μB/cell
ΔE_f: 0.07 eV/atom

abc: 11.8958 11.8958 5.7363
angles: 103.91 103.91 48.24
Sites, in units of the cell vectors:
Pr  0.2503  0.7497  0.7500
Pr  0.7497  0.2503  0.2500
Dy  0.1676  0.3323  0.0322
Dy  0.3323  0.1676  0.5322
Dy  0.6677  0.8324  0.4678
Dy  0.8324  0.6677  0.9678
Y  0.0023  0.1669  0.8097
Y  0.0831  0.5833  0.5834
Y  0.1669  0.0023  0.3097
Y  0.3330  0.4976  0.1412
Y  0.4167  0.9169  0.9166
Y  0.4976  0.3330  0.6412
Y  0.5024  0.6670  0.3588
Y  0.5833  0.0831  0.0834
Y  0.6670  0.5024  0.8588
Y  0.8331  0.9977  0.6903
Y  0.9169  0.4167  0.4166
Y  0.9977  0.8331  0.1903

---

10.
Below is a relaxed structure of Pr5Dy6Y2, with properties calculated at the GGA-PBE level.

Output
DOS at the Fermi energy: 33.21 states/eV/cell
M_tot: 0.00 μB/cell
ΔE_f: 0.09 eV/atom

abc: 11.7606 20.6895 3.6231
angles: 90.00 90.00 90.00
Sites, in units of the cell vectors:
Pr  0.0000  0.0000  0.0000
Pr  0.0881  0.2742  0.0000
Pr  0.1990  0.5508  0.0000
Pr  0.3010  0.0508  0.0000
Pr  0.4119  0.7742  0.0000
Pr  0.5000  0.5000  0.0000
Pr  0.5881  0.2258  0.0000
Pr  0.6990  0.9492  0.0000
Pr  0.8010  0.4492  0.0000
Pr  0.9119  0.7258  0.0000
Dy  0.0613  0.4194  0.5000
Dy  0.0803  0.1327  0.5000
Dy  0.1751  0.8638  0.0000
Dy  0.3249  0.3638  0.0000
Dy  0.4197  0.6327  0.5000
Dy  0.4387  0.9194  0.5000
Dy  0.5613  0.0806  0.5000
Dy  0.5803  0.3673  0.5000
Dy  0.6751  0.6362  0.0000
Dy  0.8249  0.1362  0.0000
Dy  0.9197  0.8673  0.5000
Dy  0.9387  0.5806  0.5000
Y  0.1690  0.7120  0.5000
Y  0.3310  0.2120  0.5000
Y  0.6690  0.7880  0.5000
Y  0.8310  0.2880  0.5000

---

11.
Below is a relaxed structure of Pr8Dy2Y, with properties calculated at the GGA-PBE level.

Output
DOS at the Fermi energy: 18.11 states/eV/cell
M_tot: 0.00 μB/cell
ΔE_f: 0.16 eV/atom

abc: 9.1907 9.1907 6.7613
angles: 99.43 99.43 43.99
Sites, in units of the cell vectors:
Pr  0.0953  0.0953  0.9169
Pr  0.1515  0.6746  0.5930
Pr  0.2556  0.2556  0.6789
Pr  0.3254  0.8485  0.4070
Pr  0.6746  0.1515  0.5930
Pr  0.7444  0.7444  0.3211
Pr  0.8485  0.3254  0.4070
Pr  0.9047  0.9047  0.0831
Dy  0.3040  0.3040  0.1909
Dy  0.6960  0.6960  0.8091
Y  0.5000  0.5000  0.0000

---

12.
Below is a relaxed structure of Pr11Dy9Y4, with properties calculated at the GGA-PBE level.

Output
DOS at the Fermi energy: 30.98 states/eV/cell
M_tot: 0.00 μB/cell
ΔE_f: 0.06 eV/atom

abc: 15.5704 15.5704 3.6805
angles: 90.00 90.00 113.24
Sites, in units of the cell vectors:
Pr  0.0000  0.0000  0.0000
Pr  0.0408  0.4035  0.0000
Pr  0.1608  0.8392  0.0000
Pr  0.2910  0.2910  0.0000
Pr  0.3680  0.6320  0.0000
Pr  0.4035  0.0408  0.0000
Pr  0.5965  0.9592  0.0000
Pr  0.6320  0.3680  0.0000
Pr  0.7090  0.7090  0.0000
Pr  0.8392  0.1608  0.0000
Pr  0.9592  0.5965  0.0000
Dy  0.0672  0.2130  0.5000
Dy  0.1659  0.6303  0.5000
Dy  0.2130  0.0672  0.5000
Dy  0.3697  0.8341  0.5000
Dy  0.5000  0.5000  0.5000
Dy  0.6303  0.1659  0.5000
Dy  0.7870  0.9328  0.5000
Dy  0.8341  0.3697  0.5000
Dy  0.9328  0.7870  0.5000
Y  0.2404  0.4441  0.5000
Y  0.4441  0.2404  0.5000
Y  0.5559  0.7596  0.5000
Y  0.7596  0.5559  0.5000

---

13.
Below is a relaxed structure of PrDy7Y12, with properties calculated at the GGA-PBE level.

Output
DOS at the Fermi energy: 18.55 states/eV/cell
M_tot: 0.00 μB/cell
ΔE_f: 0.29 eV/atom

abc: 8.7244 8.7244 8.7244
angles: 95.31 95.31 95.31
Sites, in units of the cell vectors:
Pr  0.0000  0.0000  0.0000
Dy  0.0172  0.3524  0.0818
Dy  0.0818  0.0172  0.3524
Dy  0.3524  0.0818  0.0172
Dy  0.5000  0.5000  0.5000
Dy  0.6476  0.9182  0.9828
Dy  0.9182  0.9828  0.6476
Dy  0.9828  0.6476  0.9182
Y  0.1468  0.4765  0.4139
Y  0.1881  0.3179  0.7500
Y  0.2500  0.8119  0.6821
Y  0.3179  0.7500  0.1881
Y  0.4139  0.1468  0.4765
Y  0.4765  0.4139  0.1468
Y  0.5235  0.5861  0.8532
Y  0.5861  0.8532  0.5235
Y  0.6821  0.2500  0.8119
Y  0.7500  0.1881  0.3179
Y  0.8119  0.6821  0.2500
Y  0.8532  0.5235  0.5861

---

14.
Below is a relaxed structure of PrDyY6, with properties calculated at the GGA-PBE level.

Output
DOS at the Fermi energy: 14.24 states/eV/cell
M_tot: 0.00 μB/cell
ΔE_f: 0.15 eV/atom

abc: 6.4988 6.4988 6.4988
angles: 96.25 96.25 96.25
Sites, in units of the cell vectors:
Pr  0.0000  0.0000  0.0000
Dy  0.5000  0.5000  0.5000
Y  0.0427  0.7476  0.4560
Y  0.2524  0.5440  0.9573
Y  0.4560  0.0427  0.7476
Y  0.5440  0.9573  0.2524
Y  0.7476  0.4560  0.0427
Y  0.9573  0.2524  0.5440

---

15.
Below is a relaxed structure of Pr3Dy6Y2, with properties calculated at the GGA-PBE level.

Output
DOS at the Fermi energy: 16.65 states/eV/cell
M_tot: 0.00 μB/cell
ΔE_f: 0.27 eV/atom

abc: 17.1119 17.1119 17.1119
angles: 163.94 163.94 22.79
Sites, in units of the cell vectors:
Pr  0.0000  0.0000  0.0000
Pr  0.2043  0.2043  0.0000
Pr  0.7957  0.7957  0.0000
Dy  0.1209  0.6209  0.5000
Dy  0.3075  0.3075  0.0000
Dy  0.3791  0.8791  0.5000
Dy  0.6209  0.1209  0.5000
Dy  0.6925  0.6925  0.0000
Dy  0.8791  0.3791  0.5000
Y  0.4536  0.4536  0.0000
Y  0.5464  0.5464  0.0000

---

16.
Below is a relaxed structure of Pr3Dy8Y2, with properties calculated at the GGA-PBE level.

Output
DOS at the Fermi energy: 22.03 states/eV/cell
M_tot: 0.00 μB/cell
ΔE_f: 0.25 eV/atom

abc: 10.8114 10.8114 5.6738
angles: 90.04 90.04 41.97
Sites, in units of the cell vectors:
Pr  0.0000  0.0000  0.0000
Pr  0.2926  0.7074  0.5000
Pr  0.7074  0.2926  0.5000
Dy  0.1354  0.1354  0.4995
Dy  0.1826  0.5995  0.9996
Dy  0.3287  0.3287  0.4988
Dy  0.4005  0.8174  0.0004
Dy  0.5995  0.1826  0.9996
Dy  0.6713  0.6713  0.5012
Dy  0.8174  0.4005  0.0004
Dy  0.8646  0.8646  0.5005
Y  0.2413  0.2413  0.9986
Y  0.7587  0.7587  0.0014

---

17.
Below is a relaxed structure of Pr3DyY4, with properties calculated at the GGA-PBE level.

Output
DOS at the Fermi energy: 29.86 states/eV/cell
M_tot: 0.00 μB/cell
ΔE_f: 0.02 eV/atom

abc: 11.5962 7.3792 6.3598
angles: 90.00 90.00 90.00
Sites, in units of the cell vectors:
Pr  0.0000  0.1259  0.0000
Pr  0.2500  0.1254  0.3313
Pr  0.2500  0.8746  0.8313
Pr  0.5000  0.8741  0.5000
Pr  0.7500  0.1254  0.3313
Pr  0.7500  0.8746  0.8313
Dy  0.0000  0.8711  0.4983
Dy  0.5000  0.1289  0.9983
Y  0.0000  0.3769  0.4970
Y  0.0000  0.6225  0.9975
Y  0.2482  0.6226  0.3331
Y  0.2518  0.3774  0.8331
Y  0.5000  0.3775  0.4975
Y  0.5000  0.6231  0.9970
Y  0.7482  0.3774  0.8331
Y  0.7518  0.6226  0.3331